Entry from the Alexandria database: crystalline U5As4C at its relaxed geometry (PBE-GGA).

Cell and atoms, written as POSCAR:
```
U5As4C
1.0
-4.432 4.432 2.839
4.432 -4.432 2.839
4.432 4.432 -2.839
U As C
5 4 1
Cartesian
0.000 0.000 0.000
3.613 2.096 0.000
2.335 -0.819 2.839
2.096 5.250 0.000
0.819 2.335 2.839
6.132 0.747 0.000
0.747 2.731 0.000
3.685 1.700 2.839
-1.700 3.685 2.839
0.000 0.000 2.839
```

Properties
Calculated formation energy, eV/f.u.: -5.10
V, Å³/cell: 223.00
Uncorrected energy, eV/atom: -8.9363

Entry from the Alexandria database: crystalline U3AsC2 at its relaxed geometry (PBE-GGA).

Cell and atoms, written as POSCAR:
```
U3AsC2
1.0
1.997 -6.266 0.000
1.997 6.266 0.000
0.000 0.000 8.610
U As C
6 2 4
Cartesian
1.997 5.242 6.457
1.997 1.503 4.690
1.997 1.503 8.225
1.997 -1.503 0.385
1.997 -1.503 3.920
1.997 -5.242 2.152
1.997 3.328 2.152
1.997 -3.328 6.457
0.000 0.000 0.000
0.000 0.000 4.305
1.997 0.026 6.457
1.997 -0.026 2.152
```

Properties
Calculated formation energy, eV/f.u.: -1.43
V, Å³/cell: 215.45
Uncorrected energy, eV/atom: -9.7312

Entry from the Alexandria database: crystalline V7AsC2 at its relaxed geometry (PBE-GGA).

Cell and atoms, written as POSCAR:
```
V7AsC2
1.0
3.295 -5.112 0.000
3.295 5.112 0.000
0.000 0.000 3.868
V As C
7 1 2
Cartesian
0.000 0.000 0.000
1.915 1.346 0.000
3.295 2.674 1.934
1.915 -1.346 0.000
4.675 1.346 0.000
3.295 -2.674 1.934
4.675 -1.346 0.000
3.295 0.000 1.934
3.295 2.987 0.000
3.295 -2.987 0.000
```

Properties
Calculated formation energy, eV/f.u.: -0.42
V, Å³/cell: 130.31
Uncorrected energy, eV/atom: -8.7344

Entry from the Alexandria database: crystalline V6AsC at its relaxed geometry (PBE-GGA).

Cell and atoms, written as POSCAR:
```
V6AsC
1.0
4.524 0.000 0.000
-0.816 4.659 0.000
-1.559 -0.916 4.862
V As C
6 1 1
Cartesian
-0.051 1.036 0.910
-0.202 3.437 2.197
-0.217 1.135 3.720
2.366 2.609 1.142
2.351 0.306 2.665
2.200 2.708 3.952
2.262 0.000 0.000
1.074 1.872 2.431
```

Properties
Calculated formation energy, eV/f.u.: -1.53
V, Å³/cell: 102.48
Uncorrected energy, eV/atom: -8.7641